# 1
Compound: MgCu3Au4
Source: the Alexandria database
Functional: PBE
Structure: optimized geometry

Values from the calculation:
symmetry: No. 51
density of states at the Fermi level: 4.68 states/eV/cell
formation energy: -0.19 eV per atom
total DFT energy (no corrections): -0.2622 Ry per atom

Cell and atoms, written as CIF:
```
data_MgCu3Au4
_symmetry_space_group_name_H-M 'P 1'
_symmetry_Int_Tables_number 1
_symmetry_space_group_name_Hall 'P 1'
_cell_length_a 9.086
_cell_length_b 5.973
_cell_length_c 4.635
_cell_angle_alpha 90.00
_cell_angle_beta 90.00
_cell_angle_gamma 90.00
loop_
_atom_site_label
_atom_site_type_symbol
_atom_site_fract_x
_atom_site_fract_y
_atom_site_fract_z
_atom_site_occupancy
Mg1 Mg 0.000 0.000 0.000 1
Mg2 Mg 0.500 0.000 0.000 1
Cu1 Cu 0.000 0.500 0.000 1
Cu2 Cu 0.250 0.000 0.410 1
Cu3 Cu 0.250 0.500 0.396 1
Cu4 Cu 0.500 0.500 0.000 1
Cu5 Cu 0.750 0.000 0.590 1
Cu6 Cu 0.750 0.500 0.604 1
Au1 Au 0.000 0.255 0.500 1
Au2 Au 0.000 0.745 0.500 1
Au3 Au 0.250 0.256 0.907 1
Au4 Au 0.250 0.744 0.907 1
Au5 Au 0.500 0.255 0.500 1
Au6 Au 0.500 0.745 0.500 1
Au7 Au 0.750 0.256 0.093 1
Au8 Au 0.750 0.744 0.093 1
```

=====

# 2
Compound: ZrPaSn2
Source: the Alexandria database
Functional: PBE
Structure: optimized geometry

Values from the calculation:
symmetry: No. 123
density of states at the Fermi level: 5.48 states/eV/cell
polymorph energy (0 for the lowest one): 0.000 eV per atom
formation energy: -0.28 eV per atom
total DFT energy (no corrections): -0.4991 Ry per atom

Cell and atoms, written as CIF:
```
data_ZrPaSn2
_symmetry_space_group_name_H-M 'P 1'
_symmetry_Int_Tables_number 1
_symmetry_space_group_name_Hall 'P 1'
_cell_length_a 3.883
_cell_length_b 3.883
_cell_length_c 6.458
_cell_angle_alpha 90.00
_cell_angle_beta 90.00
_cell_angle_gamma 90.00
loop_
_atom_site_label
_atom_site_type_symbol
_atom_site_fract_x
_atom_site_fract_y
_atom_site_fract_z
_atom_site_occupancy
Zr1 Zr 0.000 0.000 0.000 1
Pa1 Pa 0.000 0.000 0.500 1
Sn1 Sn 0.500 0.500 0.231 1
Sn2 Sn 0.500 0.500 0.769 1
```

=====

# 3
Compound: CaBe2Pt2
Source: the Alexandria database
Functional: PBE
Structure: optimized geometry

Values from the calculation:
symmetry: No. 139
density of states at the Fermi level: 1.55 states/eV/cell
polymorph energy (0 for the lowest one): 0.047 eV per atom
formation energy: -0.74 eV per atom
total DFT energy (no corrections): -0.3712 Ry per atom

Cell and atoms, written as CIF:
```
data_CaBe2Pt2
_symmetry_space_group_name_H-M 'P 1'
_symmetry_Int_Tables_number 1
_symmetry_space_group_name_Hall 'P 1'
_cell_length_a 4.040
_cell_length_b 4.040
_cell_length_c 9.658
_cell_angle_alpha 90.00
_cell_angle_beta 90.00
_cell_angle_gamma 90.00
loop_
_atom_site_label
_atom_site_type_symbol
_atom_site_fract_x
_atom_site_fract_y
_atom_site_fract_z
_atom_site_occupancy
Ca1 Ca 0.000 0.000 0.000 1
Ca2 Ca 0.500 0.500 0.500 1
Be1 Be 0.000 0.000 0.365 1
Be2 Be 0.000 0.000 0.635 1
Be3 Be 0.500 0.500 0.135 1
Be4 Be 0.500 0.500 0.865 1
Pt1 Pt 0.000 0.500 0.250 1
Pt2 Pt 0.000 0.500 0.750 1
Pt3 Pt 0.500 0.000 0.250 1
Pt4 Pt 0.500 0.000 0.750 1
```

=====

# 4
Compound: ScNb3H
Source: the Alexandria database
Functional: PBE
Structure: optimized geometry

Values from the calculation:
symmetry: No. 221
density of states at the Fermi level: 4.63 states/eV/cell
polymorph energy (0 for the lowest one): 0.000 eV per atom
total DFT energy (no corrections): -0.5793 Ry per atom

Cell and atoms, written as CIF:
```
data_ScNb3H
_symmetry_space_group_name_H-M 'P 1'
_symmetry_Int_Tables_number 1
_symmetry_space_group_name_Hall 'P 1'
_cell_length_a 4.306
_cell_length_b 4.306
_cell_length_c 4.306
_cell_angle_alpha 90.00
_cell_angle_beta 90.00
_cell_angle_gamma 90.00
loop_
_atom_site_label
_atom_site_type_symbol
_atom_site_fract_x
_atom_site_fract_y
_atom_site_fract_z
_atom_site_occupancy
Sc1 Sc 0.000 0.000 0.000 1
Nb1 Nb 0.000 0.500 0.500 1
Nb2 Nb 0.500 0.000 0.500 1
Nb3 Nb 0.500 0.500 0.000 1
H1 H 0.500 0.500 0.500 1
```

=====

Question: Number 2 is which compound?
Answer: ZrPaSn2